(1)
Below is a crystal of Tl3GaRu relaxed with PBEsol, with properties calculated at the SCAN level.

Lattice parameters (Å, degrees): 5.182 5.182 5.182 90.00 90.00 90.00
Positions (direct):
Ru  0.000  0.000  0.000
Tl  0.000  0.500  0.000
Tl  0.000  0.000  0.500
Tl  0.500  0.000  0.000
Ga  0.500  0.500  0.500

Properties
E_form: 399.8 meV per atom
size of the total moment: 0.00 μB/f.u.


(2)
Below is a crystal of YTl2GaRu relaxed with PBEsol, with properties calculated at the SCAN level.

Lattice parameters (Å, degrees): 5.063 5.204 5.204 90.00 90.00 90.00
Positions (direct):
Y  0.500  0.000  0.000
Ru  0.000  0.000  0.000
Tl  0.000  0.000  0.500
Tl  0.000  0.500  0.000
Ga  0.500  0.500  0.500

Properties
E_form: 126.1 meV per atom
size of the total moment: 0.00 μB/f.u.


(3)
Below is a crystal of TmGa3Ru relaxed with PBEsol, with properties calculated at the SCAN level.

Lattice parameters (Å, degrees): 6.289 6.289 6.289 90.00 90.00 90.00
Positions (direct):
Tm  0.000  0.500  0.500
Tm  0.500  0.500  0.000
Tm  0.500  0.000  0.500
Ga  0.500  0.500  0.500
Ga  0.213  0.213  0.213
Ga  0.213  0.787  0.213
Ga  0.213  0.213  0.787
Ga  0.787  0.213  0.213
Ga  0.787  0.787  0.213
Ga  0.213  0.787  0.787
Ga  0.787  0.213  0.787
Ga  0.787  0.787  0.787
Ru  0.500  0.000  0.000
Ru  0.000  0.000  0.500
Ru  0.000  0.500  0.000

Properties
E_form: -691.1 meV per atom
size of the total moment: 0.00 μB/f.u.


(4)
Below is a crystal of Tm2Ga9Ru3 relaxed with PBEsol, with properties calculated at the SCAN level.

Lattice parameters (Å, degrees): 7.328 7.328 9.513 90.00 90.00 118.79
Positions (direct):
Tm  0.678  0.998  0.750
Tm  0.322  0.002  0.250
Tm  0.998  0.678  0.750
Tm  0.002  0.322  0.250
Ga  0.134  0.134  0.750
Ga  0.866  0.866  0.250
Ga  0.339  0.010  0.921
Ga  0.661  0.990  0.079
Ga  0.661  0.990  0.421
Ga  0.010  0.339  0.579
Ga  0.339  0.010  0.579
Ga  0.990  0.661  0.421
Ga  0.990  0.661  0.079
Ga  0.010  0.339  0.921
Ga  0.337  0.337  0.437
Ga  0.663  0.663  0.563
Ga  0.663  0.663  0.937
Ga  0.337  0.337  0.063
Ga  0.558  0.341  0.750
Ga  0.442  0.659  0.250
Ga  0.341  0.558  0.750
Ga  0.659  0.442  0.250
Ru  0.323  0.677  0.000
Ru  0.677  0.323  0.000
Ru  0.677  0.323  0.500
Ru  0.323  0.677  0.500
Ru  0.000  0.000  0.000
Ru  0.000  0.000  0.500

Properties
E_form: -616.3 meV per atom
size of the total moment: 0.00 μB/f.u.


(5)
Below is a crystal of Tm2GaRu relaxed with PBEsol, with properties calculated at the SCAN level.

Lattice parameters (Å, degrees): 4.785 4.785 4.785 60.00 60.00 60.00
Positions (direct):
Ru  0.000  0.000  0.000
Tm  0.750  0.750  0.750
Tm  0.250  0.250  0.250
Ga  0.500  0.500  0.500

Properties
E_form: -618.6 meV per atom
size of the total moment: 0.00 μB/f.u.


(6)
Below is a crystal of ZrGa2Ru2 relaxed with PBEsol, with properties calculated at the SCAN level.

Lattice parameters (Å, degrees): 2.938 7.159 7.159 90.00 90.00 90.00
Positions (direct):
Ru  0.500  0.172  0.672
Ru  0.500  0.672  0.828
Ru  0.500  0.828  0.328
Ru  0.500  0.328  0.172
Ga  0.000  0.374  0.874
Ga  0.000  0.874  0.626
Ga  0.000  0.626  0.126
Ga  0.000  0.126  0.374
Zr  0.000  0.000  0.000
Zr  0.000  0.500  0.500

Properties
E_form: -495.1 meV per atom
size of the total moment: 0.00 μB/f.u.


(7)
Below is a crystal of Ga2S3 relaxed with PBEsol, with properties calculated at the SCAN level.

Lattice parameters (Å, degrees): 6.317 6.341 6.395 119.72 99.23 71.13
Positions (direct):
S  0.141  0.781  0.167
S  0.117  0.147  0.841
S  0.617  0.306  0.159
S  0.113  0.465  0.513
S  0.641  0.614  0.833
S  0.613  0.952  0.487
Ga  0.003  0.148  0.168
Ga  0.000  0.842  0.493
Ga  0.503  0.980  0.832
Ga  0.500  0.349  0.507

Properties
E: -13.084 eV/atom
size of the total moment: 0.00 μB/f.u.


(8)
Below is a crystal of Ga2S3 relaxed with PBEsol, with properties calculated at the SCAN level.

Lattice parameters (Å, degrees): 3.643 5.277 6.366 114.49 106.63 90.00
Positions (direct):
S  0.339  0.103  0.677
S  0.661  0.426  0.323
S  0.000  0.738  0.000
Ga  0.841  0.833  0.682
Ga  0.159  0.151  0.318

Properties
E: -13.082 eV/atom
size of the total moment: 0.00 μB/f.u.


(9)
Below is a crystal of Ga3SbS relaxed with PBEsol, with properties calculated at the SCAN level.

Lattice parameters (Å, degrees): 5.258 5.258 5.258 90.00 90.00 90.00
Positions (direct):
Sb  0.000  0.000  0.000
S  0.500  0.500  0.500
Ga  0.000  0.500  0.000
Ga  0.000  0.000  0.500
Ga  0.500  0.000  0.000

Properties
E: -18.526 eV/atom
size of the total moment: 0.00 μB/f.u.


(10)
Below is a crystal of Sm4GaSbS9 relaxed with PBEsol, with properties calculated at the SCAN level.

Lattice parameters (Å, degrees): 9.884 9.884 13.540 90.00 90.00 91.34
Positions (direct):
Sm  0.909  0.874  0.184
Sm  0.126  0.091  0.816
Sm  0.409  0.374  0.316
Sm  0.626  0.591  0.684
Sm  0.683  0.666  0.398
Sm  0.334  0.317  0.602
Sm  0.183  0.166  0.102
Sm  0.834  0.817  0.898
Sm  0.957  0.376  0.319
Sm  0.624  0.043  0.681
Sm  0.457  0.876  0.181
Sm  0.124  0.543  0.819
Sm  0.670  0.550  0.104
Sm  0.450  0.330  0.896
Sm  0.170  0.050  0.396
Sm  0.950  0.830  0.604
Ga  0.175  0.615  0.093
Ga  0.385  0.825  0.907
Ga  0.675  0.115  0.407
Ga  0.885  0.325  0.593
Sb  0.162  0.670  0.388
Sb  0.330  0.838  0.612
Sb  0.662  0.170  0.112
Sb  0.830  0.338  0.888
S  0.978  0.835  0.399
S  0.165  0.022  0.601
S  0.478  0.335  0.101
S  0.665  0.522  0.899
S  0.850  0.335  0.081
S  0.665  0.150  0.919
S  0.350  0.835  0.419
S  0.165  0.650  0.581
S  0.181  0.795  0.200
S  0.205  0.819  0.800
S  0.681  0.295  0.300
S  0.705  0.319  0.700
S  0.179  0.427  0.191
S  0.573  0.821  0.809
S  0.679  0.927  0.309
S  0.073  0.321  0.691
S  0.872  0.128  0.500
S  0.372  0.628  0.000
S  0.884  0.512  0.494
S  0.488  0.116  0.506
S  0.384  0.012  0.006
S  0.988  0.616  0.994
S  0.184  0.321  0.433
S  0.679  0.816  0.567
S  0.684  0.821  0.067
S  0.179  0.316  0.933
S  0.995  0.120  0.248
S  0.880  0.005  0.752
S  0.495  0.620  0.252
S  0.380  0.505  0.748
S  0.503  0.497  0.500
S  0.003  0.997  0.000
S  0.860  0.610  0.245
S  0.390  0.140  0.755
S  0.360  0.110  0.255
S  0.890  0.640  0.745

Properties
E: -22.977 eV/atom
size of the total moment: 0.00 μB/f.u.


(11)
Below is a crystal of Tb4GaSbS9 relaxed with PBEsol, with properties calculated at the SCAN level.

Lattice parameters (Å, degrees): 9.755 9.755 13.377 90.00 90.00 91.29
Positions (direct):
Tb  0.910  0.873  0.185
Tb  0.127  0.090  0.815
Tb  0.410  0.373  0.315
Tb  0.627  0.590  0.685
Tb  0.684  0.663  0.399
Tb  0.337  0.316  0.601
Tb  0.184  0.163  0.101
Tb  0.837  0.816  0.899
Tb  0.958  0.375  0.317
Tb  0.625  0.042  0.683
Tb  0.458  0.875  0.183
Tb  0.125  0.542  0.817
Tb  0.668  0.550  0.103
Tb  0.450  0.332  0.897
Tb  0.168  0.050  0.397
Tb  0.950  0.832  0.603
Ga  0.177  0.613  0.092
Ga  0.387  0.823  0.908
Ga  0.677  0.113  0.408
Ga  0.887  0.323  0.592
Sb  0.164  0.667  0.387
Sb  0.333  0.836  0.613
Sb  0.664  0.167  0.113
Sb  0.833  0.336  0.887
S  0.979  0.835  0.400
S  0.165  0.021  0.600
S  0.479  0.335  0.100
S  0.665  0.521  0.900
S  0.851  0.338  0.082
S  0.662  0.149  0.918
S  0.351  0.838  0.418
S  0.162  0.649  0.582
S  0.182  0.796  0.198
S  0.204  0.818  0.802
S  0.682  0.296  0.302
S  0.704  0.318  0.698
S  0.180  0.423  0.191
S  0.577  0.820  0.809
S  0.680  0.923  0.309
S  0.077  0.320  0.691
S  0.877  0.123  0.500
S  0.377  0.623  0.000
S  0.886  0.509  0.490
S  0.491  0.114  0.510
S  0.386  0.009  0.010
S  0.991  0.614  0.990
S  0.186  0.320  0.433
S  0.680  0.814  0.567
S  0.686  0.820  0.067
S  0.180  0.314  0.933
S  0.996  0.120  0.247
S  0.880  0.004  0.753
S  0.496  0.620  0.253
S  0.380  0.504  0.747
S  0.503  0.497  0.500
S  0.003  0.997  0.000
S  0.859  0.610  0.243
S  0.390  0.141  0.757
S  0.359  0.110  0.257
S  0.890  0.641  0.743

Properties
E: -23.584 eV/atom
size of the total moment: 0.00 μB/f.u.


(12)
Below is a crystal of ZrGaSbS2 relaxed with PBEsol, with properties calculated at the SCAN level.

Lattice parameters (Å, degrees): 4.513 4.513 5.430 90.00 90.00 90.00
Positions (direct):
Sb  0.500  0.500  0.500
S  0.000  0.500  0.000
S  0.500  0.000  0.000
Ga  0.000  0.000  0.000
Zr  0.000  0.000  0.500

Properties
E: -20.367 eV/atom
size of the total moment: 0.00 μB/f.u.


(13)
Below is a crystal of Sc2GaS relaxed with PBEsol, with properties calculated at the SCAN level.

Lattice parameters (Å, degrees): 4.649 4.649 4.649 60.00 60.00 60.00
Positions (direct):
Sc  0.250  0.250  0.250
Sc  0.750  0.750  0.750
S  0.000  0.000  0.000
Ga  0.500  0.500  0.500

Properties
E: -14.378 eV/atom
size of the total moment: 0.00 μB/f.u.


(14)
Below is a crystal of ScGa2TeS relaxed with PBEsol, with properties calculated at the SCAN level.

Lattice parameters (Å, degrees): 5.130 5.153 5.153 90.00 90.00 90.00
Positions (direct):
Sc  0.500  0.500  0.500
S  0.500  0.000  0.000
Te  0.000  0.000  0.000
Ga  0.000  0.000  0.500
Ga  0.000  0.500  0.000

Properties
E: -18.153 eV/atom
size of the total moment: 1.54 μB/f.u.


(15)
Below is a crystal of GaSe2S relaxed with PBEsol, with properties calculated at the SCAN level.

Lattice parameters (Å, degrees): 3.421 3.421 8.894 78.91 78.91 60.00
Positions (direct):
S  0.500  0.500  0.500
Ga  0.000  0.000  0.000
Se  0.896  0.896  0.313
Se  0.104  0.104  0.687

Properties
E above lowest polymorph: 1.199 eV/f.u.
size of the total moment: 0.00 μB/f.u.


(16)
Below is a crystal of GaSeS3 relaxed with PBEsol, with properties calculated at the SCAN level.

Lattice parameters (Å, degrees): 4.595 4.595 4.595 90.00 90.00 90.00
Positions (direct):
S  0.000  0.500  0.000
S  0.000  0.000  0.500
S  0.500  0.000  0.000
Ga  0.000  0.000  0.000
Se  0.500  0.500  0.500

Properties
E: -12.430 eV/atom
size of the total moment: 0.00 μB/f.u.


(17)
Below is a crystal of GaSe2S relaxed with PBEsol, with properties calculated at the SCAN level.

Lattice parameters (Å, degrees): 6.178 6.178 6.178 99.68 114.58 114.58
Positions (direct):
S  0.000  0.500  0.500
S  0.500  0.250  0.750
Ga  0.000  0.000  0.000
Ga  0.500  0.750  0.250
Se  0.017  0.642  0.125
Se  0.983  0.108  0.625
Se  0.483  0.375  0.358
Se  0.517  0.875  0.892

Properties
E above lowest polymorph: 0.000 eV/f.u.
size of the total moment: 0.00 μB/f.u.


(18)
Below is a crystal of GaSiS3 relaxed with PBEsol, with properties calculated at the SCAN level.

Lattice parameters (Å, degrees): 4.497 4.497 4.497 90.00 90.00 90.00
Positions (direct):
S  0.000  0.500  0.000
S  0.000  0.000  0.500
S  0.500  0.000  0.000
Si  0.000  0.000  0.000
Ga  0.500  0.500  0.500

Properties
E: -10.975 eV/atom
size of the total moment: 0.00 μB/f.u.


(19)
Below is a crystal of Ga2SiS relaxed with PBEsol, with properties calculated at the SCAN level.

Lattice parameters (Å, degrees): 5.514 5.514 6.820 113.84 113.84 90.00
Positions (direct):
S  0.250  0.750  0.500
S  0.000  0.000  0.000
Si  0.750  0.250  0.500
Si  0.500  0.500  0.000
Ga  0.384  0.875  0.250
Ga  0.866  0.375  0.250
Ga  0.125  0.134  0.750
Ga  0.625  0.616  0.750

Properties
E: -13.377 eV/atom
size of the total moment: 0.00 μB/f.u.


(20)
Below is a crystal of GaSiS2 relaxed with PBEsol, with properties calculated at the SCAN level.

Lattice parameters (Å, degrees): 3.427 3.427 7.787 77.29 77.29 60.00
Positions (direct):
S  0.894  0.894  0.317
S  0.106  0.106  0.683
Si  0.000  0.000  0.000
Ga  0.500  0.500  0.500

Properties
E: -11.450 eV/atom
size of the total moment: 0.00 μB/f.u.